# 1
# KTaIn2P

An optimized crystal structure of KTaIn2P (PBE, the Alexandria database).

total DFT energy (no corrections): -3.39 eV/atom
formation energy: 1376 meV per atom

a = 5.4361 Å, b = 6.4252 Å, c = 5.4361 Å
α = 90.00°, β = 90.00°, γ = 90.00°
Last column: nearest neighbours and their distance in Å.
Fractional coordinates of all 5 atoms:
P 0.5000 0.5000 0.5000  4 K 3.84, 8 In 4.21
K 0.0000 0.5000 0.0000  2 Ta 3.21
In 0.0000 0.0000 0.5000  2 Ta 2.72
In 0.5000 0.0000 0.0000  2 Ta 2.72
Ta 0.0000 0.0000 0.0000  4 In 2.72

=====

# 2
# K2YInP

An optimized crystal structure of K2YInP (PBE, the Alexandria database).

total DFT energy (no corrections): -2.21 eV/atom
formation energy: 1147 meV per atom

a = 6.8945 Å, b = 6.8945 Å, c = 5.8955 Å
α = 90.00°, β = 90.00°, γ = 90.00°
Last column: nearest neighbours and their distance in Å.
Fractional coordinates of all 5 atoms:
Y 0.0000 0.0000 0.0000  2 In 2.95
P 0.5000 0.5000 0.5000  8 K 4.54, 4 In 4.88
K 0.0000 0.5000 0.0000  2 Y 3.45
K 0.5000 0.0000 0.0000  2 Y 3.45
In 0.0000 0.0000 0.5000  2 Y 2.95

=====

# 3
# K2PaInS4

An optimized crystal structure of K2PaInS4 (PBE, the Alexandria database).

total DFT energy (no corrections): -5.14 eV/atom
formation energy (no corrections): -1274 meV/atom

a = 4.1859 Å, b = 7.6973 Å, c = 7.5323 Å
α = 108.55°, β = 90.00°, γ = 90.00°
Last column: nearest neighbours and their distance in Å.
Fractional coordinates of all 8 atoms:
K 0.5000 0.0000 0.5000  6 S 3.38-3.62
K 0.0000 0.5000 0.5000  6 S 3.13-3.14
Pa 0.5000 0.5000 0.0000  6 S 2.56-2.76
In 0.0000 0.0000 0.0000  6 S 3.06-3.10
S 0.5000 0.2860 0.2003  1 Pa 2.56
S 0.5000 0.7140 0.7997  1 Pa 2.56
S 0.0000 0.2953 0.8006  2 Pa 2.76
S 0.0000 0.7047 0.1994  2 Pa 2.76

=====

# 4
# K2Pa3InS8

An optimized crystal structure of K2Pa3InS8 (PBE, the Alexandria database).

total DFT energy (no corrections): -6.16 eV/atom
formation energy (no corrections): -1416 meV/atom

a = 8.1976 Å, b = 8.1976 Å, c = 9.0753 Å
α = 63.15°, β = 63.15°, γ = 60.00°
Last column: nearest neighbours and their distance in Å.
Fractional coordinates of all 14 atoms:
K 0.1315 0.1315 0.6055  4 S 3.08-3.22
K 0.4982 0.4982 0.5054  6 S 3.23-3.28
Pa 0.4989 0.9992 0.0029  6 S 2.67-2.77
Pa 0.9992 0.4989 0.0029  6 S 2.67-2.77
Pa 0.4989 0.4989 0.0029  6 S 2.67-2.77
In 0.8799 0.8799 0.3602  3 S 2.87
S 0.2700 0.2700 0.1901  3 Pa 2.77
S 0.7254 0.7254 0.8238  3 Pa 2.74
S 0.2433 0.2433 0.8194  2 Pa 2.67
S 0.6940 0.2433 0.8194  2 Pa 2.67
S 0.2433 0.6940 0.8194  2 Pa 2.67
S 0.7571 0.2959 0.1900  2 Pa 2.70, 1 In 2.87
S 0.2959 0.7571 0.1900  2 Pa 2.70, 1 In 2.87
S 0.7571 0.7571 0.1900  2 Pa 2.70, 1 In 2.87

=====

# 5
# KPaInS4

An optimized crystal structure of KPaInS4 (PBE, the Alexandria database).

total DFT energy (no corrections): -5.43 eV/atom
formation energy (no corrections): -1168 meV/atom

a = 9.4315 Å, b = 8.0662 Å, c = 8.4157 Å
α = 121.44°, β = 90.00°, γ = 125.78°
Last column: nearest neighbours and their distance in Å.
Fractional coordinates of all 14 atoms:
K 0.9287 0.8574 0.1787  4 S 3.07-3.08
K 0.0713 0.1426 0.8213  4 S 3.07-3.08
Pa 0.5000 0.0000 0.5000  6 S 2.61-2.70
Pa 0.5000 0.0000 0.0000  6 S 2.61-2.70
In 0.5000 0.5000 0.5000  6 S 2.83-2.88
In 0.0000 0.5000 0.5000  6 S 2.83-2.88
S 0.7565 0.5131 0.7031  1 Pa 2.61, 2 In 2.88
S 0.2982 0.9523 0.2262  2 Pa 2.70, 1 In 2.83
S 0.6541 0.9523 0.2262  2 Pa 2.70, 1 In 2.83
S 0.7565 0.5131 0.3100  1 Pa 2.61, 2 In 2.88
S 0.2435 0.4869 0.6900  1 Pa 2.61, 2 In 2.88
S 0.7018 0.0477 0.7738  2 Pa 2.70, 1 In 2.83
S 0.3459 0.0477 0.7738  2 Pa 2.70, 1 In 2.83
S 0.2435 0.4869 0.2969  1 Pa 2.61, 2 In 2.88

=====

# 6
# K2PaInTe4

An optimized crystal structure of K2PaInTe4 (PBE, the Alexandria database).

total DFT energy (no corrections): -4.23 eV/atom
formation energy (no corrections): -854 meV/atom

a = 4.6032 Å, b = 8.3589 Å, c = 8.3215 Å
α = 107.31°, β = 90.00°, γ = 90.00°
Last column: nearest neighbours and their distance in Å.
Fractional coordinates of all 8 atoms:
K 0.5000 0.0000 0.5000  6 Te 3.68-3.77
K 0.0000 0.5000 0.5000  6 Te 3.47-3.50
Pa 0.5000 0.5000 0.0000  6 Te 2.95-3.10
In 0.0000 0.0000 0.0000  6 Te 3.29-3.31
Te 0.5000 0.2674 0.2060  1 Pa 2.95
Te 0.5000 0.7326 0.7940  1 Pa 2.95
Te 0.0000 0.2839 0.7975  2 Pa 3.10, 1 In 3.29
Te 0.0000 0.7161 0.2025  2 Pa 3.10, 1 In 3.29

=====

# 7
# K3Pa3InTe8

An optimized crystal structure of K3Pa3InTe8 (PBE, the Alexandria database).

total DFT energy (no corrections): -4.83 eV/atom
formation energy (no corrections): -858 meV/atom

a = 9.1412 Å, b = 9.1407 Å, c = 9.7069 Å
α = 118.10°, β = 90.00°, γ = 120.00°
Last column: nearest neighbours and their distance in Å.
Fractional coordinates of all 15 atoms:
K 0.0000 0.0000 0.0000  6 Te 3.52-3.62
K 0.0000 0.5000 0.0000  6 Te 3.52-3.62
K 0.5000 0.5000 0.0000  6 Te 3.52-3.62
Pa 0.5000 0.0000 0.5000  6 Te 3.06-3.16
Pa 0.5000 0.5000 0.5000  6 Te 3.06-3.16
Pa 0.0000 0.5000 0.5000  6 Te 3.06-3.16
In 0.0000 0.0000 0.5000  6 Te 3.28
Te 0.2622 0.5244 0.2867  3 Pa 3.16, 3 K 3.52
Te 0.7378 0.4756 0.7133  3 Pa 3.16, 3 K 3.52
Te 0.7534 0.5068 0.2928  2 Pa 3.06, 1 In 3.28
Te 0.2466 0.4932 0.7072  2 Pa 3.06, 1 In 3.28
Te 0.7534 0.0393 0.2928  2 Pa 3.06, 1 In 3.28
Te 0.2466 0.9607 0.7072  2 Pa 3.06, 1 In 3.28
Te 0.2859 0.0393 0.2928  2 Pa 3.06, 1 In 3.28
Te 0.7141 0.9607 0.7072  2 Pa 3.06, 1 In 3.28

=====

# 8
# K4Pa3InTe8

An optimized crystal structure of K4Pa3InTe8 (PBE, the Alexandria database).

total DFT energy (no corrections): -4.69 eV/atom
formation energy (no corrections): -892 meV/atom

a = 9.2316 Å, b = 9.7315 Å, c = 9.2319 Å
α = 118.33°, β = 120.00°, γ = 90.00°
Last column: nearest neighbours and their distance in Å.
Fractional coordinates of all 16 atoms:
K 0.5000 0.0000 0.0000  6 Te 3.48
K 0.5000 0.0000 0.5000  6 Te 3.55-3.62
K 0.0000 0.0000 0.0000  6 Te 3.55-3.62
K 0.0000 0.0000 0.5000  6 Te 3.55-3.62
Pa 0.5000 0.5000 0.0000  6 Te 3.11-3.17
Pa 0.5000 0.5000 0.5000  6 Te 3.11-3.17
Pa 0.0000 0.5000 0.5000  6 Te 3.11-3.17
In 0.0000 0.5000 0.0000  6 Te 3.26
Te 0.2439 0.7081 0.9644  2 Pa 3.11, 1 In 3.26, 1 K 3.48
Te 0.2439 0.7081 0.4878  2 Pa 3.11, 1 In 3.26, 1 K 3.48
Te 0.2627 0.2883 0.5255  3 Pa 3.17, 3 K 3.55
Te 0.7205 0.7081 0.9644  2 Pa 3.11, 1 In 3.26, 1 K 3.48
Te 0.2795 0.2919 0.0356  2 Pa 3.11, 1 In 3.26, 1 K 3.48
Te 0.7373 0.7117 0.4745  3 Pa 3.17, 3 K 3.55
Te 0.7561 0.2919 0.5122  2 Pa 3.11, 1 In 3.26, 1 K 3.48
Te 0.7561 0.2919 0.0356  2 Pa 3.11, 1 In 3.26, 1 K 3.48

=====

What is the total DFT energy (no corrections) in the third record?
-5.14 eV/atom

=====

Which of these has the highest total DFT energy (no corrections)?
K2YInP

=====

What is the total DFT energy (no corrections) in the eighth record?
-4.69 eV/atom